[1]
GaWSe2S: relaxed, PBEsol.

## Properties
D(E_F): 1.023 states/eV per atom
uncorrected formation energy: 2.6 eV per formula unit

Cell lengths 4.7283, 4.7283, 5.1563 Å; angles 90.00, 90.00, 90.00 degrees
With the nearest neighbours (Å) after each atom.
Fractional positions:
Ga (0.0000, 0.0000, 0.0000)  2 W 2.58
W (0.0000, 0.0000, 0.5000)  4 Se 2.36, 2 Ga 2.58
Se (0.0000, 0.5000, 0.5000)  2 W 2.36
Se (0.5000, 0.0000, 0.5000)  2 W 2.36
S (0.5000, 0.5000, 0.0000)  4 Ga 3.34, 8 Se 3.50

[2]
FeAs2BrO: relaxed, PBEsol.

## Properties
D(E_F): 1.083 states/eV per atom
uncorrected formation energy: 2.7 eV per formula unit

Cell lengths 4.0271, 4.0271, 5.7500 Å; angles 90.00, 90.00, 90.00 degrees
With the nearest neighbours (Å) after each atom.
Fractional positions:
Fe (0.0000, 0.0000, 0.0000)  4 Br 2.85
As (0.0000, 0.5000, 0.5000)  2 O 2.01
As (0.5000, 0.0000, 0.5000)  2 O 2.01
Br (0.5000, 0.5000, 0.0000)  4 Fe 2.85, 2 O 2.87
O (0.5000, 0.5000, 0.5000)  4 As 2.01

[3]
Zn2Tc2Ru: relaxed, PBEsol.

## Properties
D(E_F): 1.035 states/eV per atom
ΔE_f: 14.4 kcal/mol of atoms

Cell lengths 6.6773, 6.6773, 6.6773 Å; angles 150.15, 150.15, 42.71 degrees
With the nearest neighbours (Å) after each atom.
Fractional positions:
Zn (0.0916, 0.0916, 0.0000)  1 Zn 2.28
Zn (0.9084, 0.9084, 0.0000)  1 Zn 2.28
Tc (0.2500, 0.7500, 0.5000)  4 Tc 2.43, 4 Zn 2.61
Tc (0.7500, 0.2500, 0.5000)  4 Tc 2.43, 4 Zn 2.61
Ru (0.5000, 0.5000, 0.0000)  8 Zn 2.69

> What is the D(E_F) in the third record?

1.035 states/eV per atom